Density functional theory data (PBE) for a geometry-optimized TlIOF2 structure.

## Properties
Energy above the lowest structure with this stoichiometry in meV/atom: 234
Total energy in eV/atom: -3.16
V in Å³/atom: 18.0
Magnetic moment in μB/f.u.: 0.00
Space-group type: No. 123
ρ in Mg/m³: 7.1
ΔE_f (raw) in eV per atom: -0.639

Cell lengths 4.3969, 4.3969, 4.6603 Å; angles 90.00, 90.00, 90.00 degrees
Last column: nearest neighbours and their distance in Å.
Fractional coordinates of all 5 atoms:
Tl 0.0000 0.0000 0.0000  4 F 2.20, 2 O 2.33
I 0.5000 0.5000 0.5000  4 O 3.11, 8 F 3.20
O 0.0000 0.0000 0.5000  2 Tl 2.33
F 0.0000 0.5000 0.0000  2 Tl 2.20
F 0.5000 0.0000 0.0000  2 Tl 2.20